Below is a relaxed Li2CrFeO4 crystal, with properties calculated at the PBE with a Hubbard U level.

Values from the calculation:
- space-group type = No. 12
- offset from the most stable computed form (meV/atom) = 130

Cell and atoms, written as POSCAR:
```
Li2CrFeO4
1.0
4.955 -1.491 0.000
4.955 1.491 0.000
-0.906 0.000 5.003
Li Cr Fe O
2 1 1 4
Direct
0.248 0.248 0.233 Li
0.752 0.752 0.767 Li
0.000 0.000 0.500 Cr
0.500 0.500 0.000 Fe
0.118 0.118 0.867 O
0.392 0.392 0.639 O
0.608 0.608 0.361 O
0.882 0.882 0.133 O
```